(1)
Density functional theory data (PBE) for an optimized crystal structure of Pr2TlPt.

- Energy above the lowest structure with this stoichiometry: 0.120 eV per atom
- V: 27.201 Å³ per atom
- Formation energy: -0.5766 eV per atom

a = 7.578 Å, b = 7.578 Å, c = 7.578 Å
α = 90.00°, β = 90.00°, γ = 90.00°
Space group Fm-3m (No. 225)
Symmetry-distinct sites (fractional):
Pr1 0.250 0.250 0.250 (multiplicity 8)
Tl1 0.000 0.000 0.000 (multiplicity 4)
Pt1 0.000 0.000 0.500 (multiplicity 4)

***

(2)
Density functional theory data (PBE) for an optimized crystal structure of Pr5TlPt2.

- V: 29.189 Å³ per atom
- Formation energy: -0.6900 eV per atom

a = 8.152 Å, b = 8.152 Å, c = 14.057 Å
α = 90.00°, β = 90.00°, γ = 90.00°
Space group I4/mcm (No. 140)
Symmetry-distinct sites (fractional):
Pr1 0.000 0.000 0.000 (multiplicity 4)
Pr2 0.160 0.340 0.138 (multiplicity 16)
Tl1 0.000 0.000 0.250 (multiplicity 4)
Pt1 0.134 0.366 0.500 (multiplicity 8)

***

Which of these has the lowest formation energy?
Pr5TlPt2

***

Which of these has the lowest V?
Pr2TlPt